Computed, not measured: a relaxed structure of BeCdF3 at the PBE level of DFT.

Raw formation energy   -5.49 eV/f.u.
Offset from the most stable computed form   1404 meV per atom
Magnetization   1.00 μB per cell
Uncorrected energy   -3.15 eV per atom

abc: 4.404 4.404 4.404
angles: 90.00 90.00 90.00
Fractional positions:
Cd 0.000 0.000 0.000
F 0.000 0.500 0.000
F 0.500 0.000 0.000
F 0.000 0.000 0.500
Be 0.500 0.500 0.500